Below is a geometry-optimized UBePt structure, with properties calculated at the PBE-GGA level.

Energy above the most stable polymorph in this dataset   0.034 eV/atom

Cell: 6.3322 6.3322 6.3322 Å, 90.00 90.00 90.00°
Closest atoms and distances in Å follow each position.
Space group F-43m (No. 216)
Unique sites:
1 U 0.0000 0.0000 0.0000 [4 per cell]  4 Pt 2.74
2 Be 0.0000 0.0000 0.5000 [4 per cell]  4 Pt 2.74
3 Pt 0.2500 0.2500 0.7500 [4 per cell]  4 Be 2.74, 4 U 2.74